# 1
Ac3Co2: optimized geometry, PBE-GGA.

Unit cell a=7.2673 b=7.2673 c=7.8306 alpha=62.35 beta=62.35 gamma=60.00
With the nearest neighbours (Å) after each atom.
Atoms (fractional coordinates):
Ac: 0.5840 0.9160 0.2500  4 Co 2.85-3.02
Ac: 0.0840 0.7500 0.7500  4 Co 2.85-3.02
Ac: 0.4160 0.0840 0.7500  4 Co 2.85-3.02
Co: 0.3252 0.3252 0.0243  6 Ac 2.85-3.02, 1 Co 2.98
Co: 0.1748 0.1748 0.4757  6 Ac 2.85-3.02, 1 Co 2.98
Co: 0.8252 0.8252 0.5243  6 Ac 2.85-3.02, 1 Co 2.98
Ac: 0.7500 0.4160 0.7500  4 Co 2.85-3.02
Co: 0.6748 0.6748 0.9757  6 Ac 2.85-3.02, 1 Co 2.98
Ac: 0.9160 0.2500 0.2500  4 Co 2.85-3.02
Ac: 0.2500 0.5840 0.2500  4 Co 2.85-3.02

Values from the calculation:
Space-group type: R-3c


# 2
AcCo2: optimized geometry, PBE-GGA.

Unit cell a=4.4677 b=4.0066 c=4.0068 alpha=119.99 beta=90.00 gamma=90.00
With the nearest neighbours (Å) after each atom.
Atoms (fractional coordinates):
Co: 0.0000 0.3333 0.6667  3 Co 2.31
Ac: 0.5000 0.0000 0.0000  12 Co 3.22
Co: 0.0000 0.6667 0.3333  3 Co 2.31

Values from the calculation:
Space-group type: P6/mmm


# 3
Ac5Co: optimized geometry, PBE-GGA.

Unit cell a=6.4393 b=3.9885 c=9.7677 alpha=101.78 beta=90.00 gamma=90.00
With the nearest neighbours (Å) after each atom.
Atoms (fractional coordinates):
Co: 0.0000 0.0000 0.0000  4 Ac 2.85
Ac: 0.5000 0.1657 0.3315  10 Ac 3.74-3.99
Ac: 0.5000 0.8343 0.6685  10 Ac 3.74-3.99
Ac: 0.0000 0.6065 0.2130  2 Co 2.85
Ac: 0.5000 0.5000 0.0000  10 Ac 3.74-3.99, 4 Co 3.79
Ac: 0.0000 0.3935 0.7870  2 Co 2.85

Values from the calculation:
Space-group type: Cmmm


# 4
Ac3Co: optimized geometry, PBE-GGA.

Unit cell a=3.8972 b=6.7440 c=6.7160 alpha=120.14 beta=106.87 gamma=90.00
With the nearest neighbours (Å) after each atom.
Atoms (fractional coordinates):
Ac: 0.3229 0.6984 0.6459  2 Co 3.00
Ac: 0.6771 0.0526 0.3541  2 Co 3.00
Ac: 0.5000 0.3624 0.0000  2 Co 2.85
Co: 0.0000 0.0532 0.0000  6 Ac 2.85-3.00

Values from the calculation:
Space-group type: Imm2


Electronic total energy, record by record: -5.29 -6.10 -4.37 -4.79 eV per atom